Material: SrCo2F8
Method: DFT, GGA+U
State: relaxed

Lattice parameters (Å, degrees): 5.459 5.459 6.812 113.62 113.62 90.00
Element x y z (fractional)
F: 0.475 0.965 0.277
F: 0.688 0.198 0.723
F: 0.198 0.035 0.723
F: 0.312 0.475 0.277
F: 0.802 0.312 0.277
F: 0.525 0.688 0.723
F: 0.965 0.802 0.277
F: 0.035 0.525 0.723
Sr: 0.500 0.500 0.000
Co: 0.750 0.250 0.500
Co: 0.250 0.750 0.500

Output
Total magnetic moment   4.0 Bohr magnetons per cell
Electronic total energy   -4.7850 eV/atom
Space group   I422, No. 97